Material: GaFeI5
Method: DFT, PBE-GGA
State: optimized geometry

Computed properties:
- calculated volume (Å³/f.u.) = 372
- energy (eV/atom) = -3.044
- ΔE_f (raw) (kcal/mol of atoms) = -6.817
- space group = Pnma, No. 62

POSCAR file:
```
GaFeI5
1.0
-0.598 7.956 2.125
-10.110 0.951 -6.402
-8.025 -3.836 12.102
Ga Fe I
4 4 20
direct
0.750 0.602 0.087
0.250 0.102 0.413
0.750 0.898 0.587
0.250 0.398 0.913
0.750 0.401 0.829
0.250 0.901 0.671
0.750 0.099 0.329
0.250 0.599 0.171
0.506 0.270 0.877
0.994 0.270 0.877
0.494 0.730 0.123
0.006 0.730 0.123
0.506 0.230 0.377
0.494 0.770 0.623
0.006 0.770 0.623
0.994 0.230 0.377
0.250 0.934 0.835
0.750 0.066 0.165
0.250 0.566 0.335
0.750 0.434 0.665
0.250 0.913 0.341
0.750 0.413 0.159
0.750 0.087 0.659
0.250 0.587 0.841
0.250 0.096 0.591
0.250 0.404 0.091
0.750 0.904 0.409
0.750 0.596 0.909
```